VASP calculation (PBE-GGA) on a relaxed Ti4CrPb crystal.

For the total moment, the calculation gives 0.000 μB per formula unit. Its total energy is -7.488 eV/atom. The value obtained for the formation enthalpy at 0 K is -3 meV per atom.

It has space group Immm (No. 71), with a = 5.0931 Å, b = 6.4007 Å, c = 13.3635 Å, α = 90.00°, β = 90.00° and γ = 90.00°. The asymmetric unit holds Ti at (0.0000, 0.0000, 0.1661), Ti at (0.0000, 0.2406, 0.3869), Ti at (0.0000, 0.3072, 0.0000), Cr at (0.2434, 0.5000, 0.5000) and Pb at (0.0000, 0.5000, 0.2003).